{"formula": "KAlZn2", "functional": "PBE", "state": "optimized geometry", "lattice_angstrom": [[5.065, -0.049, 0.000], [0.008, 5.065, 0.000], [-2.536, -2.508, 3.459]], "species": ["Al", "Zn", "Zn", "K"], "fractional_positions": [[0.500, 0.500, 0.000], [0.000, 0.000, 0.000], [0.250, 0.750, 0.500], [0.750, 0.250, 0.500]], "total_magnetization_mub_per_atom": 0.000, "e_tot_ev_per_fu": -5.84, "crystal_system": "orthorhombic", "formation_energy_ev_per_fu": 1.55}